Density functional theory data (PBE-GGA) for crystalline TcRu2Rh at its relaxed geometry.

Computed properties:
For the formation energy, the calculation gives 420 meV per atom. The calculation puts the energy above the most stable polymorph in this dataset at 495 meV per atom.

CIF file:
```
data_TcRu2Rh
_symmetry_space_group_name_H-M 'F m -3 m'
_symmetry_Int_Tables_number 225
_symmetry_space_group_name_Hall '-F 4 2 3'
_cell_length_a 6.139
_cell_length_b 6.139
_cell_length_c 6.139
_cell_angle_alpha 90.00
_cell_angle_beta 90.00
_cell_angle_gamma 90.00
loop_
_atom_site_label
_atom_site_fract_x
_atom_site_fract_y
_atom_site_fract_z
_atom_site_occupancy
Tc1 0.000 0.000 0.000 1
Ru1 0.250 0.250 0.250 1
Rh1 0.000 0.000 0.500 1
```

***

Density functional theory data (PBE-GGA) for crystalline Zr7In2Hg2 at its relaxed geometry.

Computed properties:
For the formation energy, the calculation gives 250 meV per atom.

CIF file:
```
data_Zr7In2Hg2
_symmetry_space_group_name_H-M 'C m m m'
_symmetry_Int_Tables_number 65
_symmetry_space_group_name_Hall '-C 2 2'
_cell_length_a 5.871
_cell_length_b 10.497
_cell_length_c 8.718
_cell_angle_alpha 90.00
_cell_angle_beta 90.00
_cell_angle_gamma 90.00
loop_
_atom_site_label
_atom_site_fract_x
_atom_site_fract_y
_atom_site_fract_z
_atom_site_occupancy
Zr1 0.000 0.000 0.000 1
Zr2 0.000 0.500 0.217 1
Zr3 0.250 0.250 0.305 1
In1 0.000 0.287 0.000 1
Hg1 0.234 0.000 0.500 1
```

***

Density functional theory data (PBE-GGA) for crystalline NdSbO4 at its relaxed geometry.

CIF file:
```
data_NdSbO4
_symmetry_space_group_name_H-M 'P 1 21/c 1'
_symmetry_Int_Tables_number 14
_symmetry_space_group_name_Hall '-P 2ybc'
_cell_length_a 7.772
_cell_length_b 5.556
_cell_length_c 7.742
_cell_angle_alpha 90.00
_cell_angle_beta 100.14
_cell_angle_gamma 90.00
loop_
_atom_site_label
_atom_site_fract_x
_atom_site_fract_y
_atom_site_fract_z
_atom_site_occupancy
Nd1 0.149 0.225 0.398 1
Sb1 0.337 0.732 0.198 1
O1 0.120 0.524 0.174 1
O2 0.173 0.000 0.128 1
O3 0.331 0.636 0.944 1
O4 0.438 0.090 0.799 1
```

***

Density functional theory data (PBE-GGA) for crystalline CuPdSe at its relaxed geometry.

Computed properties:
The calculation puts the energy above the most stable polymorph in this dataset at 51 meV per atom.

CIF file:
```
data_CuPdSe
_symmetry_space_group_name_H-M 'C 1 2/m 1'
_symmetry_Int_Tables_number 12
_symmetry_space_group_name_Hall '-C 2y'
_cell_length_a 10.903
_cell_length_b 3.615
_cell_length_c 5.158
_cell_angle_alpha 90.00
_cell_angle_beta 104.72
_cell_angle_gamma 90.00
loop_
_atom_site_label
_atom_site_fract_x
_atom_site_fract_y
_atom_site_fract_z
_atom_site_occupancy
Cu1 0.037 0.000 0.273 1
Pd1 0.131 0.500 0.675 1
Se1 0.174 0.500 0.189 1
```

***

Values for raw total energy, eV/atom, ordered as above
-8.65, -5.74, -7.12, -4.35
Values for total moment, μB per formula unit, ordered as above
0.0, 0.9, 0.0, 0.0